[1]
Below is CoAg3Se after structural relaxation, with properties calculated at the GGA-PBEsol level.

```
CoAg3Se
1.0
-2.529 -1.006 -3.798
-0.832 -4.277 1.687
-3.840 1.589 2.136
Co Se Ag
1 1 3
Direct
0.000 0.000 0.000
0.500 0.500 0.500
0.000 0.500 0.000
0.000 0.000 0.500
0.500 0.000 0.000
```

Values from the calculation:
VASP energy = -0.24373 Ry per atom
Uncorrected formation energy = 988 meV per atom


[2]
Below is CoAg2Se after structural relaxation, with properties calculated at the GGA-PBEsol level.

```
CoAg2Se
1.0
-1.946 0.037 2.217
0.079 -4.367 0.142
4.833 2.347 2.240
Ag Co Se
2 1 1
Direct
0.981 0.981 0.963
0.808 0.308 0.616
0.524 0.524 0.049
0.186 0.686 0.372
```

Values from the calculation:
VASP energy = -0.31875 Ry per atom
Uncorrected formation energy = 216 meV per atom


[3]
Below is CoAgSe2 after structural relaxation, with properties calculated at the GGA-PBEsol level.

```
CoAgSe2
1.0
-1.069 -3.864 1.986
1.611 -0.947 4.065
-2.734 -0.014 3.542
Ag Co Se
1 1 2
Direct
0.500 0.500 0.500
0.000 0.000 0.000
0.250 0.250 0.250
0.750 0.750 0.750
```

Values from the calculation:
VASP energy = -0.32249 Ry per atom
Uncorrected formation energy = 299 meV per atom


[4]
Below is CoAgSn3 after structural relaxation, with properties calculated at the GGA-PBEsol level.

```
CoAgSn3
1.0
-0.464 -4.764 -0.672
4.147 -0.054 -2.482
2.439 -0.815 4.092
Co Sn Ag
1 3 1
Direct
0.000 0.000 0.000
0.000 0.500 0.000
0.000 0.000 0.500
0.500 0.000 0.000
0.500 0.500 0.500
```

Values from the calculation:
VASP energy = -0.33570 Ry per atom
Formation energy = 0.198 eV per atom


[5]
Below is CoAg3Sn after structural relaxation, with properties calculated at the GGA-PBEsol level.

```
CoAg3Sn
1.0
-2.308 3.346 2.950
0.274 -3.209 3.853
4.452 1.931 1.293
Co Sn Ag
1 1 3
Direct
0.500 0.500 0.500
0.000 0.000 0.000
0.000 0.500 0.000
0.000 0.000 0.500
0.500 0.000 0.000
```

Values from the calculation:
VASP energy = -0.22528 Ry per atom
Formation energy = 1.321 eV per atom


[6]
Below is SrCoAg2 after structural relaxation, with properties calculated at the GGA-PBEsol level.

```
SrCoAg2
1.0
3.401 0.000 0.000
0.000 3.401 0.000
0.000 0.000 6.817
Ag Co Sr
2 1 1
Direct
0.000 0.000 0.054
0.500 0.500 0.272
0.000 0.000 0.438
0.500 0.500 0.736
```

Values from the calculation:
VASP energy = -0.27140 Ry per atom
E above lowest polymorph = 11 meV per atom
Formation energy = 0.357 eV per atom


[7]
Below is Sr3CoAg after structural relaxation, with properties calculated at the GGA-PBEsol level.

```
Sr3CoAg
1.0
5.478 0.000 0.000
0.000 5.478 0.000
0.000 0.000 5.478
Sr Co Ag
3 1 1
Direct
0.000 0.500 0.000
0.000 0.000 0.500
0.500 0.000 0.000
0.000 0.000 0.000
0.500 0.500 0.500
```

Values from the calculation:
VASP energy = -0.22065 Ry per atom
Formation energy = 0.312 eV per atom


[8]
Below is SrCo2Ag after structural relaxation, with properties calculated at the GGA-PBEsol level.

```
SrCo2Ag
1.0
4.063 0.000 0.000
2.031 3.518 0.000
2.031 1.173 5.491
Sr Co Ag
1 2 1
Direct
0.511 0.511 0.467
0.982 0.982 0.055
0.312 0.312 0.065
0.709 0.709 0.873
```

Values from the calculation:
VASP energy = -0.36186 Ry per atom
Formation energy = 0.233 eV per atom


[9]
Below is SrCoAg2 after structural relaxation, with properties calculated at the GGA-PBEsol level.

```
SrCoAg2
1.0
-1.752 -2.543 0.336
2.552 -2.159 -3.033
4.180 -0.552 3.909
Ag Co Sr
2 1 1
Direct
0.667 0.000 0.795
0.333 0.000 0.205
0.500 0.500 0.000
0.000 0.500 0.500
```

Values from the calculation:
VASP energy = -0.26813 Ry per atom
E above lowest polymorph = 56 meV per atom
Formation energy = 0.402 eV per atom


[10]
Below is Sr2CoAg after structural relaxation, with properties calculated at the GGA-PBEsol level.

```
Sr2CoAg
1.0
4.376 0.000 0.000
0.000 4.433 0.000
0.000 -2.216 5.637
Ag Co Sr
1 1 2
Direct
0.000 0.681 0.363
0.500 0.568 0.136
0.000 0.981 0.962
0.500 0.266 0.531
```

Values from the calculation:
VASP energy = -0.25734 Ry per atom
Formation energy = 0.181 eV per atom


[11]
Below is Sr2CoAg after structural relaxation, with properties calculated at the GGA-PBEsol level.

```
Sr2CoAg
1.0
-2.179 3.181 -0.010
-2.297 -1.585 -3.887
-1.590 -3.410 5.275
Ag Co Sr
1 1 2
Direct
0.555 0.555 0.111
0.201 0.701 0.401
0.982 0.982 0.963
0.762 0.262 0.525
```

Values from the calculation:
VASP energy = -0.24826 Ry per atom
Formation energy = 0.305 eV per atom


[12]
Below is SrCoAg2 after structural relaxation, with properties calculated at the GGA-PBEsol level.

```
SrCoAg2
1.0
-0.369 -1.811 -2.755
3.289 -0.013 -0.432
0.482 -5.949 3.845
Ag Co Sr
2 1 1
Direct
0.000 0.000 0.811
0.000 0.000 0.189
0.500 0.500 0.000
0.500 0.500 0.500
```

Values from the calculation:
VASP energy = -0.27221 Ry per atom
E above lowest polymorph = 0 meV per atom
Formation energy = 0.346 eV per atom


Q: Among the records above, which one has the lowest VASP energy?
A: SrCo2Ag


Q: What is the VASP energy in the ninth record?
A: -0.26813 Ry per atom